Material: TmCoO3
Method: DFT, GGA+U
State: relaxed

The structure in CIF format:
```
data_TmCoO3
_chemical_formula_sum 'Tm4 Co4 O12'
_symmetry_space_group_name_H-M 'P n m a'
_symmetry_Int_Tables_number 62
_symmetry_space_group_name_Hall '-P 2ac 2n'
_cell_length_a 5.755
_cell_length_b 7.237
_cell_length_c 5.174
_cell_angle_alpha 90.00
_cell_angle_beta 90.00
_cell_angle_gamma 90.00
loop_
_atom_site_label
_atom_site_fract_x
_atom_site_fract_y
_atom_site_fract_z
Tm1 0.091 0.250 0.026
Co1 0.000 0.000 0.500
O1 0.037 0.750 0.380
O2 0.178 0.555 0.804
```

Computed properties:
Mass density   8.50 g/cm3
Density of states at the Fermi level   1.09 states/eV/cell
Spin magnetization   2.0 μB per formula unit
DFT total energy   -143.66 eV/cell